1.
This record from the Alexandria database describes Zn2AgC after structural relaxation. The functional is PBE.

Lattice parameters (Å, degrees): 6.2456 6.2456 6.2456 127.22 127.22 77.89
Closest atoms and distances in Å follow each position.
Positions (direct):
1 Zn 0.3750 0.2295 0.3545  2 C 1.93
2 Zn 0.7705 0.1250 0.1455  2 C 1.93
3 Zn 0.8750 0.0205 0.6455  2 C 1.93
4 Zn 0.9795 0.6250 0.8545  2 C 1.93
5 Ag 0.2500 0.7500 0.5000  4 Zn 2.87
6 Ag 0.5000 0.5000 0.0000  4 Zn 2.87
7 C 0.0000 0.0000 0.0000  4 Zn 1.93
8 C 0.7500 0.2500 0.5000  4 Zn 1.93

Summary:
N(E_F), states/eV per atom: 0.304
V, Å³ per cell: 149.7
Magnetic moment, μB/f.u.: 0.00
Final energy, eV per cell: -22.8

***

2.
This record from the Alexandria database describes Zn3AgC after structural relaxation. The functional is PBE.

Lattice parameters (Å, degrees): 4.9332 4.9332 4.9332 90.00 90.00 90.00
Closest atoms and distances in Å follow each position.
Positions (direct):
1 Zn 0.0000 0.0000 0.5000  2 Ag 2.47
2 Zn 0.0000 0.5000 0.0000  2 Ag 2.47
3 Zn 0.5000 0.0000 0.0000  2 Ag 2.47
4 Ag 0.0000 0.0000 0.0000  6 Zn 2.47
5 C 0.5000 0.5000 0.5000  12 Zn 3.49

Summary:
Energy above the lowest structure with this stoichiometry, eV per formula unit: 5.32
N(E_F), states/eV per atom: 0.571
V, Å³ per cell: 120.1
Magnetic moment, μB/f.u.: 2.24
Final energy, eV per cell: -7.7

***

3.
This record from the Alexandria database describes ZnAg2C after structural relaxation. The functional is PBE.

Lattice parameters (Å, degrees): 4.3529 4.3529 4.3529 60.00 60.00 60.00
Closest atoms and distances in Å follow each position.
Positions (direct):
1 Zn 0.0000 0.0000 0.0000  8 Ag 2.67
2 Ag 0.2500 0.2500 0.2500  4 C 2.67, 4 Zn 2.67
3 Ag 0.7500 0.7500 0.7500  4 C 2.67, 4 Zn 2.67
4 C 0.5000 0.5000 0.5000  8 Ag 2.67

Summary:
Energy above the lowest structure with this stoichiometry, eV per formula unit: 0.06
N(E_F), states/eV per atom: 0.440
V, Å³ per cell: 58.3
Magnetic moment, μB/f.u.: 0.00
Final energy, eV per cell: -11.2

***

4.
This record from the Alexandria database describes ZnAgC3 after structural relaxation. The functional is PBE.

Lattice parameters (Å, degrees): 4.1797 4.1797 4.1797 90.00 90.00 90.00
Closest atoms and distances in Å follow each position.
Positions (direct):
1 Zn 0.0000 0.0000 0.0000  12 C 2.96
2 Ag 0.5000 0.5000 0.5000  6 C 2.09
3 C 0.0000 0.5000 0.5000  2 Ag 2.09
4 C 0.5000 0.0000 0.5000  2 Ag 2.09
5 C 0.5000 0.5000 0.0000  2 Ag 2.09

Summary:
Energy above the lowest structure with this stoichiometry, eV per formula unit: 1.74
N(E_F), states/eV per atom: 0.886
V, Å³ per cell: 73.0
Magnetic moment, μB/f.u.: 0.00
Final energy, eV per cell: -15.7

***

5.
This record from the Alexandria database describes Zr6AgC4 after structural relaxation. The functional is PBE.

Lattice parameters (Å, degrees): 5.9060 5.9060 17.9399 90.00 90.00 146.63
Closest atoms and distances in Å follow each position.
Positions (direct):
1 Zr 0.0000 0.0000 0.0000  6 C 2.41-2.42
2 Zr 0.0000 0.0000 0.5000  6 C 2.41-2.42
3 Zr 0.1451 0.8549 0.7500  2 C 2.38
4 Zr 0.2750 0.7250 0.0767  5 C 2.29-2.42
5 Zr 0.2750 0.7250 0.4233  5 C 2.29-2.42
6 Zr 0.4631 0.5369 0.6474  3 C 2.26-2.27
7 Zr 0.4631 0.5369 0.8526  3 C 2.26-2.27
8 Zr 0.5369 0.4631 0.1474  3 C 2.26-2.27
9 Zr 0.5369 0.4631 0.3526  3 C 2.26-2.27
10 Zr 0.7250 0.2750 0.5767  5 C 2.29-2.42
11 Zr 0.7250 0.2750 0.9233  5 C 2.29-2.42
12 Zr 0.8549 0.1451 0.2500  2 C 2.38
13 Ag 0.1609 0.8391 0.2500  6 Zr 2.77-2.87
14 Ag 0.8391 0.1609 0.7500  6 Zr 2.77-2.87
15 C 0.0899 0.9101 0.6219  6 Zr 2.27-2.42
16 C 0.0899 0.9101 0.8781  6 Zr 2.27-2.42
17 C 0.3608 0.6392 0.5391  6 Zr 2.26-2.42
18 C 0.3608 0.6392 0.9609  6 Zr 2.26-2.42
19 C 0.6392 0.3608 0.0391  6 Zr 2.26-2.42
20 C 0.6392 0.3608 0.4609  6 Zr 2.26-2.42
21 C 0.9101 0.0899 0.1219  6 Zr 2.27-2.42
22 C 0.9101 0.0899 0.3781  6 Zr 2.27-2.42

Summary:
N(E_F), states/eV per atom: 0.413
V, Å³ per cell: 344.2
Magnetic moment, μB/f.u.: 0.00
Final energy, eV per cell: -196.0

***

6.
This record from the Alexandria database describes Zr4AgC2 after structural relaxation. The functional is PBE.

Lattice parameters (Å, degrees): 6.0004 6.0004 12.1595 90.00 90.00 146.93
Closest atoms and distances in Å follow each position.
Positions (direct):
1 Zr 0.0000 0.0000 0.0000  4 C 2.42
2 Zr 0.0000 0.0000 0.5000  4 C 2.42
3 Zr 0.2606 0.7394 0.6046  3 C 2.30-2.32
4 Zr 0.2606 0.7394 0.8954  3 C 2.30-2.32
5 Zr 0.4205 0.5795 0.2500  2 C 2.41
6 Zr 0.5795 0.4205 0.7500  2 C 2.41
7 Zr 0.7394 0.2606 0.1046  3 C 2.30-2.32
8 Zr 0.7394 0.2606 0.3954  3 C 2.30-2.32
9 Ag 0.1106 0.8894 0.2500  6 Zr 2.77-2.87
10 Ag 0.8894 0.1106 0.7500  6 Zr 2.77-2.87
11 C 0.3642 0.6358 0.0594  6 Zr 2.30-2.42
12 C 0.3642 0.6358 0.4406  6 Zr 2.30-2.42
13 C 0.6358 0.3642 0.5594  6 Zr 2.30-2.42
14 C 0.6358 0.3642 0.9406  6 Zr 2.30-2.42

Summary:
N(E_F), states/eV per atom: 0.696
V, Å³ per cell: 238.9
Magnetic moment, μB/f.u.: 0.00
Final energy, eV per cell: -117.6

***

7.
This record from the Alexandria database describes Ca3Ag after structural relaxation. The functional is PBE.

Lattice parameters (Å, degrees): 3.7014 3.8481 10.1766 90.00 90.00 90.00
Closest atoms and distances in Å follow each position.
Positions (direct):
1 Ca 0.0000 0.0000 0.0000  10 Ca 3.70-3.95
2 Ca 0.0000 0.5000 0.3303  4 Ag 3.08
3 Ca 0.5000 0.5000 0.7137  2 Ag 3.06
4 Ag 0.5000 0.0000 0.4804  6 Ca 3.06-3.08

Summary:
Energy above the lowest structure with this stoichiometry, eV per formula unit: 0.72
N(E_F), states/eV per atom: 1.008
V, Å³ per cell: 144.9
Magnetic moment, μB/f.u.: 0.00
Final energy, eV per cell: -8.9

***

8.
This record from the Alexandria database describes CaAg after structural relaxation. The functional is PBE.

Lattice parameters (Å, degrees): 5.9616 5.9616 5.2094 106.08 106.08 35.79
Closest atoms and distances in Å follow each position.
Positions (direct):
1 Ca 0.1051 0.1051 0.3202  7 Ag 3.18-3.31, 2 Ca 3.43-3.49
2 Ca 0.8949 0.8949 0.6798  7 Ag 3.18-3.31, 2 Ca 3.43-3.49
3 Ag 0.3514 0.3514 0.1438  2 Ag 2.98, 7 Ca 3.18-3.31
4 Ag 0.6486 0.6486 0.8562  2 Ag 2.98, 7 Ca 3.18-3.31

Summary:
N(E_F), states/eV per atom: 0.524
V, Å³ per cell: 103.6
Magnetic moment, μB/f.u.: 0.00
Final energy, eV per cell: -10.6

***

9.
This record from the Alexandria database describes Ca2Ag after structural relaxation. The functional is PBE.

Lattice parameters (Å, degrees): 5.4315 5.4315 3.3519 90.00 90.00 120.00
Closest atoms and distances in Å follow each position.
Positions (direct):
1 Ca 0.3333 0.6667 0.0000  5 Ca 3.14-3.35
2 Ca 0.6667 0.3333 0.0000  5 Ca 3.14-3.35
3 Ag 0.0000 0.0000 0.5000  2 Ag 3.35, 12 Ca 3.56

Summary:
N(E_F), states/eV per atom: 0.938
V, Å³ per cell: 85.6
Magnetic moment, μB/f.u.: 0.00
Final energy, eV per cell: -6.4

***

10.
This record from the Alexandria database describes CaAg3 after structural relaxation. The functional is PBE.

Lattice parameters (Å, degrees): 9.1403 9.1403 9.1403 152.06 152.06 39.93
Closest atoms and distances in Å follow each position.
Positions (direct):
1 Ca 0.1262 0.1262 0.0000  12 Ag 3.06-3.12
2 Ca 0.8738 0.8738 0.0000  12 Ag 3.06-3.12
3 Ag 0.0000 0.5000 0.5000  8 Ag 3.07-3.12, 4 Ca 3.09
4 Ag 0.2500 0.7500 0.5000  4 Ca 3.06, 8 Ag 3.09-3.12
5 Ag 0.3759 0.3759 0.0000  8 Ag 3.07-3.09, 4 Ca 3.12
6 Ag 0.5000 0.0000 0.5000  8 Ag 3.07-3.12, 4 Ca 3.09
7 Ag 0.6241 0.6241 0.0000  8 Ag 3.07-3.09, 4 Ca 3.12
8 Ag 0.7500 0.2500 0.5000  4 Ca 3.06, 8 Ag 3.09-3.12

Summary:
N(E_F), states/eV per atom: 0.386
V, Å³ per cell: 167.4
Magnetic moment, μB/f.u.: 0.00
Final energy, eV per cell: -22.4

***

11.
This record from the Alexandria database describes Ca2Ag after structural relaxation. The functional is PBE.

Lattice parameters (Å, degrees): 3.7562 3.7562 7.0927 105.27 105.27 90.02
Closest atoms and distances in Å follow each position.
Positions (direct):
1 Ca 0.1375 0.1375 0.2752  4 Ag 3.21-3.22
2 Ca 0.8625 0.8625 0.7248  4 Ag 3.21-3.22
3 Ag 0.5000 0.5000 0.0000  8 Ca 3.21-3.22

Summary:
N(E_F), states/eV per atom: 0.748
V, Å³ per cell: 92.9
Magnetic moment, μB/f.u.: 0.00
Final energy, eV per cell: -7.5

***

12.
This record from the Alexandria database describes CaAg3 after structural relaxation. The functional is PBE.

Lattice parameters (Å, degrees): 5.8087 5.8087 5.8087 90.00 90.00 90.00
Closest atoms and distances in Å follow each position.
Positions (direct):
1 Ca 0.0000 0.0000 0.0000  6 Ag 2.90
2 Ag 0.0000 0.0000 0.5000  2 Ca 2.90
3 Ag 0.0000 0.5000 0.0000  2 Ca 2.90
4 Ag 0.5000 0.0000 0.0000  2 Ca 2.90

Summary:
N(E_F), states/eV per atom: 0.881
V, Å³ per cell: 196.0
Magnetic moment, μB/f.u.: 0.00
Final energy, eV per cell: -6.7

***

13.
This record from the Alexandria database describes Ca2Ag5 after structural relaxation. The functional is PBE.

Lattice parameters (Å, degrees): 8.2006 8.2006 8.2006 123.73 74.25 135.74
Closest atoms and distances in Å follow each position.
Positions (direct):
1 Ca 0.1043 0.1886 0.2929  11 Ag 3.09-3.45
2 Ca 0.3957 0.6886 0.0843  11 Ag 3.09-3.45
3 Ca 0.6043 0.3114 0.9157  11 Ag 3.09-3.45
4 Ca 0.8957 0.8114 0.7071  11 Ag 3.09-3.45
5 Ag 0.0263 0.7500 0.2763  7 Ag 2.85-3.09, 2 Ca 3.09
6 Ag 0.1367 0.7728 0.9095  6 Ag 2.85-3.17, 3 Ca 3.13-3.17
7 Ag 0.2500 0.7500 0.5000  8 Ag 2.92-3.17, 4 Ca 3.17
8 Ag 0.3633 0.2728 0.6360  6 Ag 2.85-3.17, 3 Ca 3.13-3.17
9 Ag 0.4737 0.7500 0.7237  7 Ag 2.85-3.09, 2 Ca 3.09
10 Ag 0.5263 0.2500 0.2763  7 Ag 2.85-3.09, 2 Ca 3.09
11 Ag 0.6367 0.7272 0.3640  6 Ag 2.85-3.17, 3 Ca 3.13-3.17
12 Ag 0.7500 0.2500 0.5000  8 Ag 2.92-3.17, 4 Ca 3.17
13 Ag 0.8633 0.2272 0.0905  6 Ag 2.85-3.17, 3 Ca 3.13-3.17
14 Ag 0.9737 0.2500 0.7237  7 Ag 2.85-3.09, 2 Ca 3.09

Summary:
N(E_F), states/eV per atom: 0.430
V, Å³ per cell: 312.4
Magnetic moment, μB/f.u.: 0.00
Final energy, eV per cell: -39.7

***

14.
This record from the Alexandria database describes CaAg after structural relaxation. The functional is PBE.

Lattice parameters (Å, degrees): 5.2152 5.2152 6.1135 90.00 90.00 120.00
Closest atoms and distances in Å follow each position.
Positions (direct):
1 Ca 0.3333 0.6667 0.2500  5 Ag 3.01-3.06
2 Ca 0.6667 0.3333 0.7500  5 Ag 3.01-3.06
3 Ag 0.3333 0.6667 0.7500  5 Ca 3.01-3.06
4 Ag 0.6667 0.3333 0.2500  5 Ca 3.01-3.06

Summary:
N(E_F), states/eV per atom: 0.539
V, Å³ per cell: 144.0
Magnetic moment, μB/f.u.: 0.00
Final energy, eV per cell: -9.5

***

15.
This record from the Alexandria database describes Ca2Ag after structural relaxation. The functional is PBE.

Lattice parameters (Å, degrees): 8.3301 8.3301 4.6156 90.00 90.00 120.00
Closest atoms and distances in Å follow each position.
Positions (direct):
1 Ca 0.0000 0.2568 0.0000  4 Ag 3.14-3.15
2 Ca 0.0000 0.5919 0.5000  5 Ag 3.40-3.42, 6 Ca 3.62-3.77
3 Ca 0.2568 0.0000 0.0000  4 Ag 3.14-3.15
4 Ca 0.4081 0.4081 0.5000  5 Ag 3.40-3.42, 6 Ca 3.62-3.77
5 Ca 0.5919 0.0000 0.5000  5 Ag 3.40-3.42, 6 Ca 3.62-3.77
6 Ca 0.7432 0.7432 0.0000  4 Ag 3.14-3.15
7 Ag 0.0000 0.0000 0.5000  9 Ca 3.15-3.40
8 Ag 0.3333 0.6667 0.0000  9 Ca 3.14-3.42
9 Ag 0.6667 0.3333 0.0000  9 Ca 3.14-3.42

Summary:
N(E_F), states/eV per atom: 0.714
V, Å³ per cell: 277.4
Magnetic moment, μB/f.u.: 0.00
Final energy, eV per cell: -22.7

***

16.
This record from the Alexandria database describes CaAg3 after structural relaxation. The functional is PBE.

Lattice parameters (Å, degrees): 3.3864 3.3864 9.0429 90.00 90.00 120.00
Closest atoms and distances in Å follow each position.
Positions (direct):
1 Ca 0.0000 0.0000 0.0000  6 Ag 3.11, 6 Ca 3.39
2 Ag 0.0000 0.0000 0.5000  6 Ag 2.88
3 Ag 0.3333 0.6667 0.2668  3 Ag 2.88, 3 Ca 3.11
4 Ag 0.3333 0.6667 0.7332  3 Ag 2.88, 3 Ca 3.11

Summary:
N(E_F), states/eV per atom: 0.311
V, Å³ per cell: 89.8
Magnetic moment, μB/f.u.: 0.00
Final energy, eV per cell: -10.1

***

17.
This record from the Alexandria database describes Ca2Ag7 after structural relaxation. The functional is PBE.

Lattice parameters (Å, degrees): 5.5182 5.5182 14.3023 90.00 90.00 60.74
Closest atoms and distances in Å follow each position.
Positions (direct):
1 Ca 0.1782 0.8218 0.6141  14 Ag 3.21-3.42
2 Ca 0.1782 0.8218 0.8859  14 Ag 3.21-3.42
3 Ca 0.8218 0.1782 0.1141  14 Ag 3.21-3.42
4 Ca 0.8218 0.1782 0.3859  14 Ag 3.21-3.42
5 Ag 0.1649 0.5083 0.0758  6 Ag 2.86-3.11
6 Ag 0.1649 0.5083 0.4242  6 Ag 2.86-3.11
7 Ag 0.1726 0.3260 0.7500  8 Ag 2.75-2.97
8 Ag 0.3260 0.1726 0.2500  8 Ag 2.75-2.97
9 Ag 0.3260 0.6740 0.2500  8 Ag 2.75-2.94
10 Ag 0.4917 0.8351 0.0758  6 Ag 2.86-3.11
11 Ag 0.4917 0.8351 0.4242  6 Ag 2.86-3.11
12 Ag 0.5083 0.1649 0.5758  6 Ag 2.86-3.11
13 Ag 0.5083 0.1649 0.9242  6 Ag 2.86-3.11
14 Ag 0.6740 0.3260 0.7500  8 Ag 2.75-2.94
15 Ag 0.6740 0.8274 0.7500  8 Ag 2.75-2.97
16 Ag 0.8274 0.6740 0.2500  8 Ag 2.75-2.97
17 Ag 0.8351 0.4917 0.5758  6 Ag 2.86-3.11
18 Ag 0.8351 0.4917 0.9242  6 Ag 2.86-3.11

Summary:
Energy above the lowest structure with this stoichiometry, eV per formula unit: 0.00
N(E_F), states/eV per atom: 0.352
V, Å³ per cell: 379.9
Magnetic moment, μB/f.u.: 0.00
Final energy, eV per cell: -51.9

***

18.
This record from the Alexandria database describes Ca2Ag after structural relaxation. The functional is PBE.

Lattice parameters (Å, degrees): 5.1182 5.1182 4.2314 90.00 90.00 120.00
Closest atoms and distances in Å follow each position.
Positions (direct):
1 Ca 0.3333 0.6667 0.2387  3 Ag 3.16
2 Ca 0.6667 0.3333 0.7613  3 Ag 3.16
3 Ag 0.0000 0.0000 0.5000  6 Ca 3.16

Summary:
N(E_F), states/eV per atom: 0.818
V, Å³ per cell: 96.0
Magnetic moment, μB/f.u.: 0.00
Final energy, eV per cell: -7.0

***

19.
This record from the Alexandria database describes Ca3Ag4 after structural relaxation. The functional is PBE.

Lattice parameters (Å, degrees): 6.7407 6.7407 5.1179 90.00 90.00 120.00
Closest atoms and distances in Å follow each position.
Positions (direct):
1 Ca 0.0000 0.5000 0.0000  4 Ag 3.21, 4 Ca 3.37
2 Ca 0.5000 0.0000 0.0000  4 Ag 3.21, 4 Ca 3.37
3 Ca 0.5000 0.5000 0.0000  4 Ag 3.21, 4 Ca 3.37
4 Ag 0.0000 0.0000 0.2495  2 Ag 2.55-2.56
5 Ag 0.0000 0.0000 0.7505  2 Ag 2.55-2.56
6 Ag 0.3333 0.6667 0.5000  6 Ca 3.21
7 Ag 0.6667 0.3333 0.5000  6 Ca 3.21

Summary:
Energy above the lowest structure with this stoichiometry, eV per formula unit: 2.90
N(E_F), states/eV per atom: 0.638
V, Å³ per cell: 201.4
Magnetic moment, μB/f.u.: 0.00
Final energy, eV per cell: -16.6

***

20.
This record from the Alexandria database describes CaAg after structural relaxation. The functional is PBE.

Lattice parameters (Å, degrees): 9.3103 9.3103 9.3103 92.35 92.35 156.63
Closest atoms and distances in Å follow each position.
Positions (direct):
1 Ca 0.0562 0.3176 0.3739  4 Ag 3.01-3.23
2 Ca 0.3176 0.9438 0.2614  4 Ag 3.01-3.23
3 Ca 0.6824 0.0562 0.7386  4 Ag 3.01-3.23
4 Ca 0.9438 0.6824 0.6261  4 Ag 3.01-3.23
5 Ag 0.1693 0.7419 0.9111  2 Ag 2.82, 3 Ca 3.01-3.05
6 Ag 0.2581 0.1693 0.4274  2 Ag 2.82, 3 Ca 3.01-3.05
7 Ag 0.7419 0.8307 0.5726  2 Ag 2.82, 3 Ca 3.01-3.05
8 Ag 0.8307 0.2581 0.0889  2 Ag 2.82, 3 Ca 3.01-3.05

Summary:
N(E_F), states/eV per atom: 0.583
V, Å³ per cell: 313.4
Magnetic moment, μB/f.u.: 0.00
Final energy, eV per cell: -18.6

***

no.,formation energy (eV/atom)
1,0.8065
2,1.6399
3,1.2577
4,3.2212
5,-0.6335
6,-0.4747
7,-0.0148
8,-0.2354
9,0.1350
10,-0.1654
11,-0.2208
12,0.9705
13,-0.2239
14,0.0520
15,-0.2366
16,0.1229
17,-0.2195
18,-0.0573
19,0.1223
20,0.0990